Record 1
DFT (PBE-GGA) results for a relaxed structure of BaZr3Mo.

a b c (Å): 5.1766 5.1766 5.1766
angles (deg): 90.00 90.00 90.00
With the nearest neighbours (Å) after each atom.
Atoms (fractional coordinates):
Zr1 0.5000 0.0000 0.0000  2 Ba 2.59
Zr2 0.0000 0.5000 0.0000  2 Ba 2.59
Mo1 0.5000 0.5000 0.5000  12 Zr 3.66
Zr3 0.0000 0.0000 0.5000  2 Ba 2.59
Ba1 0.0000 0.0000 0.0000  6 Zr 2.59

## Properties
Mass density in g/cm³: 6.1
Energy of formation in meV per atom: 2293
Space-group type: Pm-3m (221)
Density of states at the Fermi level in states/eV per cell: 6.95
Magnetization in μB/atom: 0.000

Record 2
DFT (PBE-GGA) results for a relaxed structure of Ba2Zr2Mo.

a b c (Å): 7.0488 7.0488 6.3443
angles (deg): 90.00 90.00 90.00
With the nearest neighbours (Å) after each atom.
Atoms (fractional coordinates):
Mo1 0.0000 0.0000 0.0000  4 Zr 2.62
Zr1 0.1675 0.3325 0.0000  2 Mo 2.62
Zr2 0.8325 0.6675 0.0000  2 Mo 2.62
Ba1 0.8209 0.3209 0.5000  2 Zr 3.52, 5 Ba 3.57-3.66
Ba2 0.6791 0.8209 0.5000  2 Zr 3.52, 5 Ba 3.57-3.66
Ba3 0.1791 0.6791 0.5000  2 Zr 3.52, 5 Ba 3.57-3.66
Mo2 0.5000 0.5000 0.0000  4 Zr 2.62
Ba4 0.3209 0.1791 0.5000  2 Zr 3.52, 5 Ba 3.57-3.66
Zr3 0.6675 0.1675 0.0000  2 Mo 2.62
Zr4 0.3325 0.8325 0.0000  2 Mo 2.62

## Properties
Mass density in g/cm³: 5.8
Energy of formation in meV per atom: 673
Space-group type: P4/mbm (127)
Density of states at the Fermi level in states/eV per cell: 18.22
Magnetization in μB/atom: 0.267

Record 3
DFT (PBE-GGA) results for a relaxed structure of Ba3N2.

a b c (Å): 5.3597 5.3597 5.3597
angles (deg): 90.00 90.00 90.00
With the nearest neighbours (Å) after each atom.
Atoms (fractional coordinates):
N1 0.0000 0.0000 0.0000  12 Ba 3.79
N2 0.5000 0.5000 0.5000  6 Ba 2.68
Ba1 0.5000 0.5000 0.0000  2 N 2.68
Ba2 0.5000 0.0000 0.5000  2 N 2.68
Ba3 0.0000 0.5000 0.5000  2 N 2.68

## Properties
Mass density in g/cm³: 4.7
Space-group type: Pm-3m (221)
Uncorrected formation energy in meV per atom: 254
Density of states at the Fermi level in states/eV per cell: 0.54
Magnetization in μB/atom: 0.000

Record 4
DFT (PBE-GGA) results for a relaxed structure of Ba4N.

a b c (Å): 5.9589 5.9589 5.9589
angles (deg): 90.00 90.00 90.00
With the nearest neighbours (Å) after each atom.
Atoms (fractional coordinates):
N1 0.5000 0.5000 0.5000  6 Ba 2.98
Ba1 0.5000 0.5000 0.0000  2 N 2.98
Ba2 0.0000 0.0000 0.0000  12 Ba 4.21
Ba3 0.0000 0.5000 0.5000  2 N 2.98
Ba4 0.5000 0.0000 0.5000  2 N 2.98

## Properties
Mass density in g/cm³: 4.4
Space-group type: Pm-3m (221)
Uncorrected formation energy in meV per atom: -13
Density of states at the Fermi level in states/eV per cell: 5.61
Magnetization in μB/atom: 0.000

Record 5
DFT (PBE-GGA) results for a relaxed structure of Ba4N.

a b c (Å): 8.3978 8.3978 9.0816
angles (deg): 98.46 98.46 114.93
With the nearest neighbours (Å) after each atom.
Atoms (fractional coordinates):
Ba1 0.7293 0.7293 0.4573  10 Ba 4.42-4.80
Ba2 0.2188 0.7689 0.2249  1 N 2.47
Ba3 0.7854 0.7854 0.9690  2 N 2.61
N1 0.1280 0.8720 0.0000  4 Ba 2.47-2.61
Ba4 0.2707 0.2707 0.5427  10 Ba 4.42-4.80
Ba5 0.7689 0.2188 0.2249  1 N 2.47
Ba6 0.7812 0.2311 0.7751  1 N 2.47
Ba7 0.2146 0.2146 0.0310  2 N 2.61
Ba8 0.2311 0.7812 0.7751  1 N 2.47
N2 0.8720 0.1280 0.0000  4 Ba 2.47-2.61

## Properties
Mass density in g/cm³: 3.3
Space-group type: C2/m (12)
Uncorrected formation energy in meV per atom: -154
Density of states at the Fermi level in states/eV per cell: 12.14
Magnetization in μB/atom: 0.107

Record 6
DFT (PBE-GGA) results for a relaxed structure of Ba2N.

a b c (Å): 4.0509 4.0506 7.6280
angles (deg): 89.87 90.00 120.00
With the nearest neighbours (Å) after each atom.
Atoms (fractional coordinates):
Ba1 0.6672 0.3344 0.8020  3 N 2.78
N1 0.0000 0.0000 0.0000  6 Ba 2.78
Ba2 0.3328 0.6656 0.1980  3 N 2.78

## Properties
Mass density in g/cm³: 4.4
Space-group type: C2/m (12)
Uncorrected formation energy in meV per atom: -403
Density of states at the Fermi level in states/eV per cell: 1.54
Magnetization in μB/atom: 0.000

Record 7
DFT (PBE-GGA) results for a relaxed structure of Ba2N.

a b c (Å): 7.9799 7.9799 7.9799
angles (deg): 29.41 29.41 29.41
With the nearest neighbours (Å) after each atom.
Atoms (fractional coordinates):
Ba1 0.2675 0.2675 0.2675  3 N 2.78
Ba2 0.7325 0.7325 0.7325  3 N 2.78
N1 0.0000 0.0000 0.0000  6 Ba 2.78

## Properties
Mass density in g/cm³: 4.4
Space-group type: R-3m (166)
Uncorrected formation energy in meV per atom: -400
Density of states at the Fermi level in states/eV per cell: 1.87
Magnetization in μB/atom: 0.001

Record 8
DFT (PBE-GGA) results for a relaxed structure of Ba4N.

a b c (Å): 3.7398 7.6919 7.6919
angles (deg): 86.61 75.93 75.93
With the nearest neighbours (Å) after each atom.
Atoms (fractional coordinates):
Ba1 0.7201 0.7502 0.8096  2 N 3.00, 2 Ba 3.31
Ba2 0.4703 0.8096 0.2498  2 N 3.00, 2 Ba 3.31
Ba3 0.2799 0.2498 0.1904  2 N 3.00, 2 Ba 3.31
N1 0.0000 0.0000 0.0000  8 Ba 3.00
Ba4 0.5297 0.1904 0.7502  2 N 3.00, 2 Ba 3.31

## Properties
Mass density in g/cm³: 4.5
Space-group type: I4/m (87)
Uncorrected formation energy in meV per atom: 33
Density of states at the Fermi level in states/eV per cell: 4.36
Magnetization in μB/atom: 0.000

Record 9
DFT (PBE-GGA) results for a relaxed structure of Ba3Na2N.

a b c (Å): 7.6351 7.6184 10.2118
angles (deg): 83.25 76.44 59.93
With the nearest neighbours (Å) after each atom.
Atoms (fractional coordinates):
Na1 0.0000 0.0000 0.0000  6 Ba 3.55-3.57
Ba1 0.0483 0.4160 0.8320  2 N 2.78-2.85
Na2 0.8658 0.2684 0.5000  1 Na 3.54
Ba2 0.9517 0.5840 0.1680  2 N 2.78-2.85
N1 0.3292 0.3416 0.0000  6 Ba 2.78-2.85
Ba3 0.5357 0.4160 0.1680  2 N 2.78-2.85
N2 0.6708 0.6584 0.0000  6 Ba 2.78-2.85
Ba4 0.3653 0.0000 0.1608  2 N 2.83
Na3 0.5000 0.0000 0.5000  2 Ba 3.84, 4 Na 4.21
Ba5 0.4643 0.5840 0.8320  2 N 2.78-2.85
Ba6 0.6347 0.0000 0.8392  2 N 2.83
Na4 0.1342 0.7316 0.5000  1 Na 3.54

## Properties
Mass density in g/cm³: 3.1
Space-group type: C2/m (12)
Uncorrected formation energy in meV per atom: -69
Density of states at the Fermi level in states/eV per cell: 9.06
Magnetization in μB/atom: 0.000

Record 10
DFT (PBE-GGA) results for a relaxed structure of BaNa3N8.

a b c (Å): 6.3136 6.3236 6.3125
angles (deg): 64.94 81.29 115.06
With the nearest neighbours (Å) after each atom.
Atoms (fractional coordinates):
N1 0.0914 0.0000 0.4572  1 N 1.20
Na1 0.2502 0.5000 0.2498  8 N 2.47-2.48
N2 0.4556 0.5468 0.5444  1 N 1.20
N3 0.0911 0.5479 0.9088  1 N 1.20
N4 0.9088 0.4532 0.0911  1 N 1.20
Ba1 0.0009 0.0000 0.9993  9 N 3.02-3.38
N5 0.5430 0.0000 0.9087  1 N 1.20
N6 0.4576 0.0000 0.0919  1 N 1.20
N7 0.5432 0.4521 0.4567  1 N 1.20
Na2 0.5000 0.0000 0.5000  8 N 2.63-2.64
N8 0.9082 0.0000 0.5426  1 N 1.20
Na3 0.7502 0.5000 0.7497  8 N 2.47-2.48

## Properties
Mass density in g/cm³: 2.8
Space-group type: Fmm2 (42)
Uncorrected formation energy in meV per atom: -74
Density of states at the Fermi level in states/eV per cell: 6.67
Magnetization in μB/atom: 0.000

Record 11
DFT (PBE-GGA) results for a relaxed structure of Ba4Na3N2.

a b c (Å): 6.9973 11.7087 11.7619
angles (deg): 42.13 98.79 97.26
With the nearest neighbours (Å) after each atom.
Atoms (fractional coordinates):
Ba1 0.4510 0.4424 0.1912  3 N 2.75-2.86
Ba2 0.0460 0.3028 0.0563  3 N 2.74-2.89
Na1 0.9151 0.8480 0.1782  3 Na 3.15-3.50
Ba3 0.5490 0.5576 0.8088  3 N 2.75-2.86
Na2 0.7455 0.4872 0.4960  2 Na 3.13-3.15
Na3 0.2545 0.5128 0.5040  2 Na 3.13-3.15
Na4 0.5963 0.1806 0.8564  3 Na 3.13-3.50
N1 0.2521 0.1234 0.3755  6 Ba 2.74-2.89
Ba4 0.9515 0.1988 0.4360  3 N 2.75-2.89
Ba5 0.4554 0.9542 0.6882  3 N 2.74-2.97
N2 0.2473 0.6240 0.8765  6 Ba 2.74-2.97
N3 0.7527 0.3760 0.1235  6 Ba 2.74-2.97
Na5 0.0849 0.1520 0.8218  3 Na 3.15-3.50
N4 0.7479 0.8766 0.6245  6 Ba 2.74-2.89
Na6 0.4037 0.8194 0.1436  3 Na 3.13-3.50
Ba6 0.9540 0.6972 0.9437  3 N 2.74-2.89
Ba7 0.0485 0.8012 0.5640  3 N 2.75-2.89
Ba8 0.5446 0.0458 0.3118  3 N 2.74-2.97

## Properties
Mass density in g/cm³: 3.4
Space-group type: P-1 (2)
Uncorrected formation energy in meV per atom: -241
Density of states at the Fermi level in states/eV per cell: 8.07
Magnetization in μB/atom: 0.000